Record 1
VASP calculation (PBE) on KScGe after structural relaxation.

Unit cell a=5.484 b=5.484 c=6.471 alpha=90.00 beta=90.00 gamma=75.55
Element x y z (fractional)
Sc  0.723  0.723  0.000
Ge  0.786  0.214  0.000
K  0.500  0.500  0.500
Ge  0.214  0.786  0.000
Sc  0.277  0.277  0.000
K  0.000  0.000  0.500

Calculated values
- E_tot (eV per cell) = -25.0
- E above lowest polymorph (eV/f.u.) = 0.69



Record 2
VASP calculation (PBE) on KScGe2 after structural relaxation.

Unit cell a=5.459 b=5.459 c=9.971 alpha=74.11 beta=74.11 gamma=90.00
Element x y z (fractional)
Ge  0.875  0.097  0.750
Ge  0.903  0.625  0.250
K  0.250  0.750  0.500
K  0.500  0.500  0.000
Sc  0.750  0.250  0.500
Sc  0.000  0.000  0.000
Ge  0.847  0.125  0.250
Ge  0.375  0.153  0.750

Calculated values
- E_tot (eV per cell) = -32.9
- E above lowest polymorph (eV/f.u.) = 0.02



Record 3
VASP calculation (PBE) on KScGe after structural relaxation.

Unit cell a=5.005 b=5.005 c=8.195 alpha=72.22 beta=72.22 gamma=90.00
Element x y z (fractional)
Ge  0.670  0.670  0.660
K  0.500  0.000  0.000
Sc  0.250  0.750  0.500
K  0.000  0.500  0.000
Ge  0.330  0.330  0.340
Sc  0.750  0.250  0.500

Calculated values
- E_tot (eV per cell) = -25.7
- E above lowest polymorph (eV/f.u.) = 0.34



Number 1: ΔE_f -158 meV per atom. Number 2: ΔE_f 48 meV per atom. Number 3: ΔE_f -276 meV per atom.